VASP calculation (GGA-PBE) on an optimized crystal structure of BaNbSi2Tc.

Calculated values
Formation energy from raw total energies ... 15.08 eV per formula unit
Uncorrected energy ... -3.62 eV/atom

Cell lengths 5.1515, 5.1515, 5.1581 Å; angles 90.00, 90.00, 90.00 degrees
Space group P4/mmm (No. 123)
Unique sites:
Ba  0.0000  0.0000  0.0000 (multiplicity 1)
Nb  0.0000  0.0000  0.5000 (multiplicity 1)
Si  0.0000  0.5000  0.0000 (multiplicity 2)
Tc  0.5000  0.5000  0.5000 (multiplicity 1)


VASP calculation (GGA-PBE) on an optimized crystal structure of Li2AcMgAg4.

Calculated values
Uncorrected energy ... -2.82 eV/atom

Cell lengths 4.6260, 4.6260, 28.0111 Å; angles 90.00, 90.00, 120.00 degrees
Space group R-3m (No. 166, hexagonal axes)
Unique sites:
Li  0.0000  0.0000  0.2308 (multiplicity 6)
Ac  0.0000  0.0000  0.0000 (multiplicity 3)
Mg  0.0000  0.0000  0.5000 (multiplicity 3)
Ag  0.0000  0.0000  0.1257 (multiplicity 6)
Ag  0.0000  0.0000  0.4036 (multiplicity 6)


VASP calculation (GGA-PBE) on an optimized crystal structure of ZrAlGa.

Calculated values
Uncorrected energy ... -5.54 eV/atom

Cell lengths 5.3074, 3.0771, 7.0700 Å; angles 90.00, 106.30, 90.00 degrees
Space group P2/m (No. 10)
Unique sites:
Zr  0.1123  0.0000  0.3096 (multiplicity 2)
Al  0.3812  0.5000  0.6632 (multiplicity 2)
Ga  0.2481  0.5000  0.0015 (multiplicity 2)


VASP calculation (GGA-PBE) on an optimized crystal structure of Dy2Y6Sc.

Calculated values
Polymorph energy (0 for the lowest one) ... 0.0 meV/atom
Uncorrected energy ... -5.98 eV/atom

Cell lengths 3.5785, 3.5785, 25.8099 Å; angles 90.00, 90.00, 120.00 degrees
Space group P-6m2 (No. 187)
Unique sites:
Dy  0.0000  0.0000  0.1745 (multiplicity 2)
Y  0.0000  0.0000  0.3970 (multiplicity 2)
Y  0.6667  0.3333  0.0658 (multiplicity 2)
Y  0.6667  0.3333  0.2854 (multiplicity 2)
Sc  0.6667  0.3333  0.5000 (multiplicity 1)


VASP calculation (GGA-PBE) on an optimized crystal structure of CaIr2Os.

Calculated values
Polymorph energy (0 for the lowest one) ... 298.3 meV/atom
Uncorrected energy ... -7.42 eV/atom

Cell lengths 2.8271, 4.7711, 10.0512 Å; angles 90.00, 90.00, 90.00 degrees
Space group Immm (No. 71)
Unique sites:
Ca  0.0000  0.0000  0.0000 (multiplicity 2)
Ir  0.0000  0.5000  0.2199 (multiplicity 4)
Os  0.0000  0.0000  0.5000 (multiplicity 2)


VASP calculation (GGA-PBE) on an optimized crystal structure of Pu2HgPt.

Calculated values
Polymorph energy (0 for the lowest one) ... 108.0 meV/atom
Uncorrected energy ... -9.09 eV/atom

Cell lengths 4.0721, 4.0721, 23.2293 Å; angles 90.00, 90.00, 120.00 degrees
Space group R3m (No. 160, hexagonal axes)
Unique sites:
Pu  0.0000  0.0000  0.0000 (multiplicity 3)
Pu  0.0000  0.0000  0.1942 (multiplicity 3)
Hg  0.0000  0.0000  0.4300 (multiplicity 3)
Pt  0.0000  0.0000  0.5975 (multiplicity 3)


VASP calculation (GGA-PBE) on an optimized crystal structure of La2PrNd4Mg.

Calculated values
Uncorrected energy ... -4.34 eV/atom

Cell lengths 5.9176, 5.9304, 7.7860 Å; angles 90.00, 90.08, 90.00 degrees
Space group P2/m (No. 10)
Unique sites:
La  0.0000  0.0000  0.0000 (multiplicity 1)
La  0.5000  0.5000  0.5000 (multiplicity 1)
Pr  0.0000  0.0000  0.5000 (multiplicity 1)
Nd  0.0009  0.5000  0.2288 (multiplicity 2)
Nd  0.5003  0.0000  0.2293 (multiplicity 2)
Mg  0.5000  0.5000  0.0000 (multiplicity 1)


VASP calculation (GGA-PBE) on an optimized crystal structure of Ba2FeAu.

Calculated values
Polymorph energy (0 for the lowest one) ... 170.6 meV/atom
Uncorrected energy ... -3.73 eV/atom

Cell lengths 7.9947, 7.9947, 7.9947 Å; angles 90.00, 90.00, 90.00 degrees
Space group Fm-3m (No. 225)
Unique sites:
Ba  0.2500  0.2500  0.2500 (multiplicity 8)
Fe  0.0000  0.0000  0.0000 (multiplicity 4)
Au  0.0000  0.0000  0.5000 (multiplicity 4)


no.,spin magnetization (μB per formula unit)
1,0.0
2,0.0
3,0.0
4,1.4
5,0.0
6,11.3
7,0.0
8,2.2